Entry 1:
TlCrRu2Au (PBE, optimized geometry); total magnetization = 0.1 μB/f.u.; E_form = 1030 meV per atom; E = -28.67 eV/f.u.; calculated volume = 19.60 Å³/atom
1.0
4.433 0.000 0.000
0.000 4.433 0.000
0.000 0.000 4.985
Tl Cr Ru Au
1 1 2 1
Cartesian
0.000 0.000 0.000 Tl
2.217 2.217 2.493 Cr
0.000 2.217 2.493 Ru
2.217 0.000 2.493 Ru
2.217 2.217 0.000 Au

Entry 2:
Zr2ZnSi (PBE, optimized geometry); total magnetization = 0.0 μB/f.u.; formation energy (no corrections) = -0.62 eV per atom; E = -26.27 eV/f.u.; calculated volume = 18.64 Å³/atom
1.0
5.436 0.000 0.000
0.000 3.787 0.000
-2.651 0.000 7.243
Zr Zn Si
4 2 2
Cartesian
0.005 0.947 3.065 Zr
1.306 2.840 0.501 Zr
1.479 0.947 6.742 Zr
2.780 2.840 4.178 Zr
0.137 2.840 5.151 Zn
2.648 0.947 2.092 Zn
-1.347 0.947 5.723 Si
4.131 2.840 1.521 Si